VASP calculation (GGA-PBE) on an optimized crystal structure of CsNa2PF.

```
CsNa2PF
1.0
5.3459 0.0000 0.0000
0.0000 5.3459 0.0000
0.0000 0.0000 6.2650
Cs Na P F
1 2 1 1
Direct
0.0000 0.0000 0.0000
0.0000 0.5000 0.5000
0.5000 0.0000 0.5000
0.0000 0.0000 0.5000
0.5000 0.5000 0.0000
```

Computed properties:
- Symmetry: P4/mmm (123)
- N(E_F): 0.9 states/eV/f.u.
- Formation energy without anion corrections: -741 meV/atom

---

VASP calculation (GGA-PBE) on an optimized crystal structure of Ag2SnBr.

```
Ag2SnBr
1.0
-3.9330 3.9330 3.1268
3.9330 -3.9330 3.1268
3.9330 3.9330 -3.1268
Ag Sn Br
4 2 2
Direct
0.1189 0.1250 0.4939
0.3750 0.8811 0.0061
0.6311 0.6250 0.5061
0.8750 0.3689 0.9939
0.0000 0.0000 0.0000
0.7500 0.2500 0.5000
0.2500 0.7500 0.5000
0.5000 0.5000 0.0000
```

Computed properties:
- Symmetry: I-42d (122)
- N(E_F): 1.4 states/eV/f.u.
- E above lowest polymorph: 0.000 eV per atom
- Formation energy without anion corrections: 45 meV/atom

---

VASP calculation (GGA-PBE) on an optimized crystal structure of SrSiP2.

```
SrSiP2
1.0
5.1937 -5.1811 0.0000
5.1937 5.1811 0.0000
-2.5997 0.0000 13.8613
Sr Si P
8 8 16
Direct
0.1523 0.8012 0.6080
0.1988 0.8477 0.8920
0.2446 0.3443 0.8848
0.3443 0.2446 0.3848
0.6557 0.7554 0.6152
0.7554 0.6557 0.1152
0.8012 0.1523 0.1080
0.8477 0.1988 0.3920
0.0855 0.7088 0.3387
0.2912 0.9145 0.1613
0.2920 0.4189 0.1627
0.4189 0.2920 0.6627
0.5811 0.7080 0.3373
0.7080 0.5811 0.8373
0.7088 0.0855 0.8387
0.9145 0.2912 0.6613
0.0498 0.4334 0.2475
0.0581 0.9419 0.2500
0.1440 0.2478 0.5664
0.2478 0.1440 0.0664
0.2902 0.6410 0.0640
0.3590 0.7098 0.4360
0.4246 0.5754 0.7500
0.4334 0.0498 0.7475
0.5666 0.9502 0.2525
0.5754 0.4246 0.2500
0.6410 0.2902 0.5640
0.7098 0.3590 0.9360
0.7522 0.8560 0.9336
0.8560 0.7522 0.4336
0.9419 0.0581 0.7500
0.9502 0.5666 0.7525
```

Computed properties:
- Symmetry: C2/c (15)
- Formation energy without anion corrections: -698 meV/atom

---

VASP calculation (GGA-PBE) on an optimized crystal structure of DyPu2Th.

```
DyPu2Th
1.0
4.9054 0.0000 0.0000
0.0000 4.9054 0.0000
0.0000 0.0000 4.8053
Dy Pu Th
1 2 1
Direct
0.0000 0.0000 0.0000
0.0000 0.5000 0.5000
0.5000 0.0000 0.5000
0.5000 0.5000 0.0000
```

Computed properties:
- Symmetry: P4/mmm (123)
- Energy of formation: 169 meV/atom
- N(E_F): 11.9 states/eV/f.u.
- E above lowest polymorph: 0.006 eV per atom

---

VASP calculation (GGA-PBE) on an optimized crystal structure of Y2HfTlIr.

```
Y2HfTlIr
1.0
5.4011 0.0000 0.0000
0.0000 5.4011 0.0000
0.0000 0.0000 5.2805
Y Hf Tl Ir
2 1 1 1
Direct
0.0000 0.5000 0.0000
0.5000 0.0000 0.0000
0.0000 0.0000 0.0000
0.0000 0.0000 0.5000
0.5000 0.5000 0.5000
```

Computed properties:
- Symmetry: P4/mmm (123)
- Energy of formation: 1347 meV/atom
- N(E_F): 5.8 states/eV/f.u.

---

VASP calculation (GGA-PBE) on an optimized crystal structure of TlCo2Re4.

```
TlCo2Re4
1.0
-2.4249 2.4249 5.9833
2.4249 -2.4249 5.9833
2.4249 2.4249 -5.9833
Tl Co Re
1 2 4
Direct
0.0000 0.0000 0.0000
0.4025 0.4025 0.0000
0.5975 0.5975 0.0000
0.0000 0.5000 0.5000
0.2241 0.2241 0.0000
0.5000 0.0000 0.5000
0.7759 0.7759 0.0000
```

Computed properties:
- Symmetry: I4/mmm (139)
- Energy of formation: 2700 meV/atom
- N(E_F): 9.3 states/eV/f.u.

---

Number 1: total energy -2.896 eV per atom. Number 2: total energy -2.800 eV per atom. Number 3: total energy -5.179 eV per atom. Number 4: total energy -10.002 eV per atom. Number 5: total energy -5.475 eV per atom. Number 6: total energy -6.782 eV per atom.